# 1
# PBE LiSN, relaxed
# ΔE_f (raw)   -1.50 eV/f.u.
# E above lowest polymorph   0.00 eV/f.u.
# Magnetization   0.00 Bohr magnetons per cell
data_LiSN
_chemical_formula_sum 'Li4 S4 N4'
_cell_length_a 6.576
_cell_length_b 4.826
_cell_length_c 7.778
_cell_angle_alpha 90.00
_cell_angle_beta 98.62
_cell_angle_gamma 90.00
_space_group_name_H-M_alt 'P 1 21/c 1'
_space_group_IT_number 14
_space_group_name_Hall '-P 2ybc'
loop_
_atom_site_label
_atom_site_fract_x
_atom_site_fract_y
_atom_site_fract_z
_atom_site_occupancy
Li1 0.127 0.247 0.015 1
S1 0.047 0.544 0.757 1
N1 0.434 0.069 0.007 1

# 2
# PBE LiSN3, relaxed
# ΔE_f (raw)   13.38 eV/f.u.
# Magnetization   2.03 Bohr magnetons per cell
data_LiSN3
_chemical_formula_sum 'Li1 S1 N3'
_cell_length_a 3.610
_cell_length_b 3.610
_cell_length_c 3.610
_cell_angle_alpha 90.00
_cell_angle_beta 90.00
_cell_angle_gamma 90.00
_space_group_name_H-M_alt 'P m -3 m'
_space_group_IT_number 221
_space_group_name_Hall '-P 4 2 3'
loop_
_atom_site_label
_atom_site_fract_x
_atom_site_fract_y
_atom_site_fract_z
_atom_site_occupancy
Li1 0.000 0.000 0.000 1
S1 0.500 0.500 0.500 1
N1 0.000 0.000 0.500 1

# 3
# PBE LiSN3, relaxed
# ΔE_f (raw)   7.50 eV/f.u.
# Magnetization   0.00 Bohr magnetons per cell
data_LiSN3
_chemical_formula_sum 'Li1 S1 N3'
_cell_length_a 3.439
_cell_length_b 3.439
_cell_length_c 3.439
_cell_angle_alpha 90.00
_cell_angle_beta 90.00
_cell_angle_gamma 90.00
_space_group_name_H-M_alt 'P m -3 m'
_space_group_IT_number 221
_space_group_name_Hall '-P 4 2 3'
loop_
_atom_site_label
_atom_site_fract_x
_atom_site_fract_y
_atom_site_fract_z
_atom_site_occupancy
Li1 0.000 0.000 0.000 1
S1 0.500 0.500 0.500 1
N1 0.000 0.500 0.500 1